(1)
Computed, not measured: a geometry-optimized CdBi2Rh2 structure at the PBE level of DFT.

Results
**DFT formation energy**: -0.3 eV per formula unit
**Raw total energy**: -47.4 eV/cell

Lattice parameters (Å, degrees): 7.5553 7.5553 3.7352 90.00 90.00 90.00
Last column: nearest neighbours and their distance in Å.
Space group P4/mbm (No. 127)
Inequivalent atoms, fractional coordinates:
Cd: 0.0000 0.0000 0.0000  4 Rh 2.91
Bi: 0.1566 0.3434 0.5000  6 Rh 2.86-2.93
Rh: 0.1411 0.6411 0.0000  6 Bi 2.86-2.93, 2 Cd 2.91, 1 Rh 3.02

---

(2)
Computed, not measured: a geometry-optimized V4Ga2Ge structure at the PBE level of DFT.

Results
**DFT formation energy**: 0.5 eV per formula unit
**Raw total energy**: -93.2 eV/cell

Lattice parameters (Å, degrees): 4.6419 17.1484 2.5955 90.00 90.00 90.00
Last column: nearest neighbours and their distance in Å.
Space group Cmmm (No. 65)
Inequivalent atoms, fractional coordinates:
V: 0.0000 0.0751 0.0000  7 V 2.58-2.85, 2 Ge 2.65, 2 Ga 2.67
V: 0.0000 0.3657 0.5000  6 V 2.60-2.85, 2 Ge 2.64, 3 Ga 2.65-2.67
Ga: 0.0000 0.2111 0.5000  4 Ga 2.60-2.68, 5 V 2.65-2.67
Ge: 0.0000 0.5000 0.0000  2 Ge 2.60, 8 V 2.64-2.65

---

(3)
Computed, not measured: a geometry-optimized K3ScN structure at the PBE level of DFT.

Results
**Raw total energy**: -8.4 eV/cell
**Uncorrected formation energy**: 1.9184 eV/atom

Lattice parameters (Å, degrees): 7.0320 7.0320 7.0320 90.00 90.00 90.00
Last column: nearest neighbours and their distance in Å.
Space group Pm-3m (No. 221)
Inequivalent atoms, fractional coordinates:
K: 0.0000 0.0000 0.5000  2 Sc 3.52
Sc: 0.0000 0.0000 0.0000  6 K 3.52
N: 0.5000 0.5000 0.5000  12 K 4.97